## LaTlGeS4 (PBE-GGA)

Data for an optimized crystal structure of LaTlGeS4.

## Properties
**Formation energy (no corrections)**: -1.064 eV/atom
**DFT total energy**: -5.1245 eV per atom
**Calculated volume**: 382.4 Å³ per cell

Unit cell a=6.760 b=6.684 c=8.827 alpha=90.00 beta=106.49 gamma=90.00
Space group P2_1/m (No. 11)
Inequivalent atoms, fractional coordinates:
La  0.237  0.250  0.057 (multiplicity 2)
Tl  0.263  0.250  0.570 (multiplicity 2)
Ge  0.221  0.750  0.818 (multiplicity 2)
S  0.004  0.008  0.781 (multiplicity 4)
S  0.409  0.750  0.072 (multiplicity 2)
S  0.419  0.750  0.658 (multiplicity 2)